NdCuTe2 | PBE-GGA | optimized geometry

Output
Volume (Å³ per cell): 308.7
Total DFT energy (no corrections) (eV/atom): -4.56
Magnetization (Bohr magnetons per cell): 0.0
ΔE_f (raw) (eV/f.u.): -3.10
SG: Cmc2_1 (36)

abc: 10.771 10.771 6.251
angles: 90.00 90.00 154.81
Fractional coordinates of all 8 atoms:
Nd 0.193 0.807 0.500
Nd 0.807 0.193 0.000
Cu 0.500 0.500 0.244
Cu 0.500 0.500 0.744
Te 0.204 0.796 0.000
Te 0.410 0.590 0.994
Te 0.590 0.410 0.494
Te 0.796 0.204 0.500